No. 1
## BaSmY (PBE-GGA)

Data for a relaxed BaSmY crystal.

Cell lengths 3.8083, 3.8083, 8.7179 Å; angles 102.62, 102.62, 90.00 degrees
Fractional coordinates of all 3 atoms:
Y 0.3185 0.3185 0.6370
Ba 0.0002 0.0002 0.0005
Sm 0.6813 0.6813 0.3626

Summary:
Its symmetry is I4mm (107). Its energy relative to the lowest polymorph listed for this composition is 0 meV/atom. As for the energy of formation from the pure elements: 0.5 eV/f.u.

---

No. 2
## Ni2Sn2Bi (PBE-GGA)

Data for a relaxed Ni2Sn2Bi crystal.

Cell lengths 7.6776, 7.6776, 3.3349 Å; angles 90.00, 90.00, 90.00 degrees
Fractional coordinates of all 10 atoms:
Sn 0.8457 0.3457 0.5000
Sn 0.3457 0.1543 0.5000
Sn 0.1543 0.6543 0.5000
Sn 0.6543 0.8457 0.5000
Bi 0.5000 0.5000 0.0000
Bi 0.0000 0.0000 0.0000
Ni 0.6284 0.1284 0.0000
Ni 0.3716 0.8716 0.0000
Ni 0.8716 0.6284 0.0000
Ni 0.1284 0.3716 0.0000

Summary:
Its symmetry is P4/mbm (127). Its energy relative to the lowest polymorph listed for this composition is 0 meV/atom. As for the energy of formation from the pure elements: 0.3 eV/f.u.

---

No. 3
## Li2TbSn2 (PBE-GGA)

Data for a relaxed Li2TbSn2 crystal.

Cell lengths 3.4612, 6.9312, 10.5854 Å; angles 119.38, 99.41, 90.00 degrees
Fractional coordinates of all 10 atoms:
Tb 0.0000 0.7500 0.0000
Tb 0.0000 0.2500 0.0000
Sn 0.6234 0.1850 0.2469
Sn 0.3766 0.8150 0.7531
Sn 0.6234 0.6850 0.2469
Sn 0.3766 0.3150 0.7531
Li 0.7911 0.9367 0.5822
Li 0.2089 0.5633 0.4178
Li 0.7911 0.4367 0.5822
Li 0.2089 0.0633 0.4178

Summary:
Its symmetry is I4/mmm (139). Its energy relative to the lowest polymorph listed for this composition is 17 meV/atom. As for the energy of formation from the pure elements: -2.4 eV/f.u.

---

No. 4
## AcSmTh2Sb4 (PBE-GGA)

Data for a relaxed AcSmTh2Sb4 crystal.

Cell lengths 4.5690, 7.9246, 7.9093 Å; angles 70.52, 90.00, 90.00 degrees
Fractional coordinates of all 8 atoms:
Sb 0.0000 0.7604 0.7393
Sb 0.5000 0.7547 0.2555
Sb 0.0000 0.2396 0.2607
Sb 0.5000 0.2453 0.7445
Sm 0.0000 0.5000 0.5000
Ac 0.5000 0.5000 0.0000
Th 0.5000 0.0000 0.5000
Th 0.0000 0.0000 0.0000

Summary:
Its symmetry is P2/m (10). The uncorrected formation energy is -1.041 eV per atom.

---

No. 5
## Y3Bi2Pb (PBE-GGA)

Data for a relaxed Y3Bi2Pb crystal.

Cell lengths 7.6108, 7.8034, 7.8034 Å; angles 119.53, 99.77, 99.77 degrees
Fractional coordinates of all 12 atoms:
Bi 0.7500 0.0832 0.9168
Bi 0.2500 0.9168 0.0832
Bi 0.2500 0.2491 0.7509
Bi 0.7500 0.7509 0.2491
Y 0.5024 0.3334 0.1663
Y 0.0024 0.1663 0.3334
Y 0.0000 0.5000 0.0000
Y 0.5000 0.0000 0.5000
Y 0.9976 0.8337 0.6666
Y 0.4976 0.6666 0.8337
Pb 0.7500 0.4163 0.5837
Pb 0.2500 0.5837 0.4163

Summary:
Its symmetry is C2/c (15). Its energy relative to the lowest polymorph listed for this composition is 2 meV/atom. As for the energy of formation from the pure elements: -4.3 eV/f.u.

---

Number 1: total energy -4.201 eV/atom, V 120.3 Å³ per cell. Number 2: total energy -4.634 eV/atom, V 196.6 Å³ per cell. Number 3: total energy -3.775 eV/atom, V 217.4 Å³ per cell. Number 4: total energy -6.061 eV/atom, V 270.0 Å³ per cell. Number 5: total energy -5.862 eV/atom, V 379.7 Å³ per cell.